Material: NaCr2GeO6
Method: DFT, GGA+U
State: optimized geometry

Unit cell a=5.0619 b=5.0843 c=5.4872 alpha=90.83 beta=116.75 gamma=119.14
Fractional coordinates of all 10 atoms:
Na1 0.0000 0.0000 0.0000
Cr1 0.5647 0.2895 0.8430
Cr2 0.5710 0.7990 0.3582
Ge1 0.9670 0.4850 0.4435
O1 0.0695 0.2036 0.6198
O2 0.0782 0.4444 0.1572
O3 0.4243 0.8699 0.6193
O4 0.5227 0.0741 0.1567
O5 0.7111 0.6384 0.1604
O6 0.7504 0.5536 0.6194

Values from the calculation:
Calculated total energy ... -6.7506 eV/atom